# 1
NaLa2Pd9: optimized geometry, PBE.

Total DFT energy (no corrections) = -5.345 eV/atom
Energy of formation from the pure elements = -0.52 eV/atom

Cell lengths 5.4620, 5.4620, 26.9816 Å; angles 90.00, 90.00, 120.00 degrees
Closest atoms and distances in Å follow each position.
Space group R-3m (No. 166, hexagonal axes)
Symmetry-distinct sites (fractional):
Na 0.0000 0.0000 0.0000  6 Pd 3.15
La 0.0000 0.0000 0.1341  9 Pd 3.04-3.27
Pd 0.0000 0.0000 0.3330  6 Pd 2.75-2.78
Pd 0.0000 0.0000 0.5000  6 Pd 2.73
Pd 0.0032 0.5016 0.9157  7 Pd 2.71-2.78


# 2
ThAl3Ru4: optimized geometry, PBE.

Total DFT energy (no corrections) = -7.533 eV/atom
Energy of formation from the pure elements = -0.56 eV/atom

Cell lengths 4.3949, 4.3949, 22.4650 Å; angles 90.00, 90.00, 120.00 degrees
Closest atoms and distances in Å follow each position.
Space group R-3m (No. 166, hexagonal axes)
Symmetry-distinct sites (fractional):
Th 0.0000 0.0000 0.0000  8 Ru 2.78-2.86
Al 0.0000 0.0000 0.2393  7 Ru 2.52-2.71
Al 0.0000 0.0000 0.5000  8 Ru 2.60-2.69
Ru 0.0000 0.0000 0.1272  7 Al 2.52-2.69
Ru 0.0000 0.0000 0.3844  4 Al 2.60-2.71, 3 Th 2.78


# 3
ZnAgPb2: optimized geometry, PBE.

Total DFT energy (no corrections) = -2.763 eV/atom
Energy of formation from the pure elements = 0.12 eV/atom

Cell lengths 3.4368, 5.2816, 10.7694 Å; angles 90.00, 90.00, 90.00 degrees
Closest atoms and distances in Å follow each position.
Space group Imm2 (No. 44)
Symmetry-distinct sites (fractional):
Zn 0.0000 0.0000 0.0000  2 Ag 2.72
Ag 0.0000 0.5000 0.3046  2 Zn 2.72
Pb 0.0000 0.0000 0.5393  4 Zn 3.18, 2 Ag 3.33, 6 Pb 3.44-3.54
Pb 0.0000 0.5000 0.7522  4 Ag 3.20, 2 Zn 3.21, 6 Pb 3.44-3.54


# 4
LiInAgF6: optimized geometry, PBE.

Total DFT energy (no corrections) = -4.205 eV/atom

Cell lengths 4.9106, 4.9106, 10.2501 Å; angles 90.00, 90.00, 90.00 degrees
Closest atoms and distances in Å follow each position.
Space group P4_2nm (No. 102)
Symmetry-distinct sites (fractional):
Li 0.0000 0.0000 0.0000  6 F 2.04-2.24
In 0.0000 0.0000 0.6566  6 F 2.09-2.16
Ag 0.0000 0.0000 0.3269  6 F 2.16-2.32
F 0.1894 0.1894 0.8232  1 In 2.16, 1 Ag 2.16, 1 Li 2.24
F 0.1997 0.1997 0.1489  1 Li 2.06, 1 In 2.09, 1 Ag 2.29
F 0.2061 0.2061 0.5052  1 Li 2.04, 1 In 2.11